No. 1
# Ti2AgS4 (PBE-GGA, relaxed)
# Formation energy without anion corrections = -1076 meV/atom
# Space group = No. 12
# Spin magnetization = 0.0000 μB/atom
# E above lowest polymorph = 0.0000 eV/atom
data_Ti2AgS4
_cell_length_a 7.325
_cell_length_b 7.325
_cell_length_c 5.957
_cell_angle_alpha 112.54
_cell_angle_beta 112.54
_cell_angle_gamma 27.25
_symmetry_space_group_name_H-M 'P 1'
_symmetry_Int_Tables_number 1
loop_
_symmetry_equiv_pos_as_xyz
'x,y,z'
loop_
_atom_site_label
_atom_site_type_symbol
_atom_site_fract_x
_atom_site_fract_y
_atom_site_fract_z
Ti1 Ti 0.249 0.249 0.256
Ti2 Ti 0.751 0.751 0.744
Ag1 Ag 0.500 0.500 0.500
S1 S 0.141 0.141 0.817
S2 S 0.361 0.361 0.692
S3 S 0.639 0.639 0.308
S4 S 0.859 0.859 0.183

No. 2
# TiAg2S2 (PBE-GGA, relaxed)
# Formation energy without anion corrections = 311 meV/atom
# Space group = No. 139
# Spin magnetization = 0.0000 μB/atom
# E above lowest polymorph = 0.1639 eV/atom
data_TiAg2S2
_cell_length_a 5.343
_cell_length_b 5.343
_cell_length_c 5.343
_cell_angle_alpha 125.65
_cell_angle_beta 125.65
_cell_angle_gamma 80.47
_symmetry_space_group_name_H-M 'P 1'
_symmetry_Int_Tables_number 1
loop_
_symmetry_equiv_pos_as_xyz
'x,y,z'
loop_
_atom_site_label
_atom_site_type_symbol
_atom_site_fract_x
_atom_site_fract_y
_atom_site_fract_z
Ti1 Ti 0.000 0.000 0.000
Ag1 Ag 0.340 0.340 0.000
Ag2 Ag 0.660 0.660 0.000
S1 S 0.250 0.750 0.500
S2 S 0.750 0.250 0.500

No. 3
# TiAg2S2 (PBE-GGA, relaxed)
# Formation energy without anion corrections = 147 meV/atom
# Space group = No. 127
# Spin magnetization = 0.3640 μB/atom
# E above lowest polymorph = 0.0000 eV/atom
data_TiAg2S2
_cell_length_a 7.218
_cell_length_b 7.218
_cell_length_c 3.491
_cell_angle_alpha 90.00
_cell_angle_beta 90.00
_cell_angle_gamma 90.00
_symmetry_space_group_name_H-M 'P 1'
_symmetry_Int_Tables_number 1
loop_
_symmetry_equiv_pos_as_xyz
'x,y,z'
loop_
_atom_site_label
_atom_site_type_symbol
_atom_site_fract_x
_atom_site_fract_y
_atom_site_fract_z
Ti1 Ti 0.000 0.000 0.000
Ti2 Ti 0.500 0.500 0.000
Ag1 Ag 0.129 0.371 0.000
Ag2 Ag 0.371 0.871 0.000
Ag3 Ag 0.629 0.129 0.000
Ag4 Ag 0.871 0.629 0.000
S1 S 0.186 0.686 0.500
S2 S 0.314 0.186 0.500
S3 S 0.686 0.814 0.500
S4 S 0.814 0.314 0.500

No. 4
# TiAg2S (PBE-GGA, relaxed)
# Formation energy without anion corrections = 33 meV/atom
# Space group = No. 122
# Spin magnetization = 0.0000 μB/atom
data_TiAg2S
_cell_length_a 5.981
_cell_length_b 5.981
_cell_length_c 5.981
_cell_angle_alpha 100.07
_cell_angle_beta 100.07
_cell_angle_gamma 130.55
_symmetry_space_group_name_H-M 'P 1'
_symmetry_Int_Tables_number 1
loop_
_symmetry_equiv_pos_as_xyz
'x,y,z'
loop_
_atom_site_label
_atom_site_type_symbol
_atom_site_fract_x
_atom_site_fract_y
_atom_site_fract_z
Ti1 Ti 0.000 0.000 0.000
Ti2 Ti 0.750 0.250 0.500
Ag1 Ag 0.166 0.625 0.041
Ag2 Ag 0.375 0.416 0.541
Ag3 Ag 0.584 0.125 0.959
Ag4 Ag 0.875 0.834 0.459
S1 S 0.250 0.750 0.500
S2 S 0.500 0.500 0.000

No. 5
# TiAg4S5 (PBE-GGA, relaxed)
# Formation energy without anion corrections = -320 meV/atom
# Space group = No. 79
# Spin magnetization = 0.0000 μB/atom
data_TiAg4S5
_cell_length_a 6.452
_cell_length_b 6.452
_cell_length_c 6.452
_cell_angle_alpha 105.22
_cell_angle_beta 105.22
_cell_angle_gamma 118.35
_symmetry_space_group_name_H-M 'P 1'
_symmetry_Int_Tables_number 1
loop_
_symmetry_equiv_pos_as_xyz
'x,y,z'
loop_
_atom_site_label
_atom_site_type_symbol
_atom_site_fract_x
_atom_site_fract_y
_atom_site_fract_z
Ti1 Ti 0.000 0.000 0.000
Ag1 Ag 0.216 0.423 0.600
Ag2 Ag 0.423 0.823 0.207
Ag3 Ag 0.615 0.216 0.793
Ag4 Ag 0.823 0.615 0.400
S1 S 0.030 0.395 0.182
S2 S 0.213 0.848 0.818
S3 S 0.395 0.213 0.365
S4 S 0.654 0.654 0.000
S5 S 0.848 0.030 0.635

No. 6
# Ti4AgS8 (PBE-GGA, relaxed)
# Formation energy without anion corrections = -1153 meV/atom
# Space group = No. 216
# Spin magnetization = 0.0000 μB/atom
# E above lowest polymorph = 0.0102 eV/atom
data_Ti4AgS8
_cell_length_a 7.190
_cell_length_b 7.190
_cell_length_c 7.190
_cell_angle_alpha 60.00
_cell_angle_beta 60.00
_cell_angle_gamma 60.00
_symmetry_space_group_name_H-M 'P 1'
_symmetry_Int_Tables_number 1
loop_
_symmetry_equiv_pos_as_xyz
'x,y,z'
loop_
_atom_site_label
_atom_site_type_symbol
_atom_site_fract_x
_atom_site_fract_y
_atom_site_fract_z
Ti1 Ti 0.120 0.120 0.120
Ti2 Ti 0.120 0.120 0.639
Ti3 Ti 0.120 0.639 0.120
Ti4 Ti 0.639 0.120 0.120
Ag1 Ag 0.500 0.500 0.500
S1 S 0.356 0.881 0.881
S2 S 0.363 0.363 0.363
S3 S 0.363 0.363 0.912
S4 S 0.363 0.912 0.363
S5 S 0.881 0.356 0.881
S6 S 0.881 0.881 0.356
S7 S 0.881 0.881 0.881
S8 S 0.912 0.363 0.363

No. 7
# Ti3AgS (PBE-GGA, relaxed)
# Formation energy without anion corrections = 1011 meV/atom
# Space group = No. 221
# Spin magnetization = 0.6222 μB/atom
# E above lowest polymorph = 1.3244 eV/atom
data_Ti3AgS
_cell_length_a 4.890
_cell_length_b 4.890
_cell_length_c 4.890
_cell_angle_alpha 90.00
_cell_angle_beta 90.00
_cell_angle_gamma 90.00
_symmetry_space_group_name_H-M 'P 1'
_symmetry_Int_Tables_number 1
loop_
_symmetry_equiv_pos_as_xyz
'x,y,z'
loop_
_atom_site_label
_atom_site_type_symbol
_atom_site_fract_x
_atom_site_fract_y
_atom_site_fract_z
Ti1 Ti 0.000 0.000 0.500
Ti2 Ti 0.000 0.500 0.000
Ti3 Ti 0.500 0.000 0.000
Ag1 Ag 0.000 0.000 0.000
S1 S 0.500 0.500 0.500

No. 8
# TiAg2S4 (PBE-GGA, relaxed)
# Formation energy without anion corrections = -478 meV/atom
# Space group = No. 74
# Spin magnetization = 0.0000 μB/atom
# E above lowest polymorph = 0.0000 eV/atom
data_TiAg2S4
_cell_length_a 7.763
_cell_length_b 7.763
_cell_length_c 7.763
_cell_angle_alpha 127.44
_cell_angle_beta 123.43
_cell_angle_gamma 80.86
_symmetry_space_group_name_H-M 'P 1'
_symmetry_Int_Tables_number 1
loop_
_symmetry_equiv_pos_as_xyz
'x,y,z'
loop_
_atom_site_label
_atom_site_type_symbol
_atom_site_fract_x
_atom_site_fract_y
_atom_site_fract_z
Ti1 Ti 0.500 0.000 0.000
Ti2 Ti 0.500 0.500 0.500
Ag1 Ag 0.000 0.000 0.000
Ag2 Ag 0.146 0.396 0.750
Ag3 Ag 0.500 0.000 0.500
Ag4 Ag 0.854 0.604 0.250
S1 S 0.257 0.732 0.525
S2 S 0.287 0.263 0.476
S3 S 0.287 0.811 0.024
S4 S 0.292 0.268 0.025
S5 S 0.708 0.732 0.975
S6 S 0.713 0.189 0.976
S7 S 0.713 0.737 0.524
S8 S 0.743 0.268 0.475

No. 9
# Ti4AgS8 (PBE-GGA, relaxed)
# Formation energy without anion corrections = -1163 meV/atom
# Space group = No. 166
# Spin magnetization = 0.0000 μB/atom
# E above lowest polymorph = 0.0000 eV/atom
data_Ti4AgS8
_cell_length_a 7.801
_cell_length_b 7.801
_cell_length_c 7.801
_cell_angle_alpha 51.93
_cell_angle_beta 51.93
_cell_angle_gamma 51.93
_symmetry_space_group_name_H-M 'P 1'
_symmetry_Int_Tables_number 1
loop_
_symmetry_equiv_pos_as_xyz
'x,y,z'
loop_
_atom_site_label
_atom_site_type_symbol
_atom_site_fract_x
_atom_site_fract_y
_atom_site_fract_z
Ti1 Ti 0.000 0.000 0.000
Ti2 Ti 0.000 0.500 0.500
Ti3 Ti 0.500 0.000 0.500
Ti4 Ti 0.500 0.500 0.000
Ag1 Ag 0.500 0.500 0.500
S1 S 0.238 0.238 0.738
S2 S 0.238 0.738 0.238
S3 S 0.262 0.762 0.762
S4 S 0.263 0.263 0.263
S5 S 0.737 0.737 0.737
S6 S 0.738 0.238 0.238
S7 S 0.762 0.262 0.762
S8 S 0.762 0.762 0.262

No. 10
# TiAgS2 (PBE-GGA, relaxed)
# Formation energy without anion corrections = -725 meV/atom
# Space group = No. 122
# Spin magnetization = 0.2500 μB/atom
data_TiAgS2
_cell_length_a 6.822
_cell_length_b 6.822
_cell_length_c 6.822
_cell_angle_alpha 130.03
_cell_angle_beta 130.03
_cell_angle_gamma 73.36
_symmetry_space_group_name_H-M 'P 1'
_symmetry_Int_Tables_number 1
loop_
_symmetry_equiv_pos_as_xyz
'x,y,z'
loop_
_atom_site_label
_atom_site_type_symbol
_atom_site_fract_x
_atom_site_fract_y
_atom_site_fract_z
Ti1 Ti 0.000 0.000 0.000
Ti2 Ti 0.750 0.250 0.500
Ag1 Ag 0.250 0.750 0.500
Ag2 Ag 0.500 0.500 0.000
S1 S 0.093 0.625 0.968
S2 S 0.375 0.343 0.468
S3 S 0.657 0.125 0.032
S4 S 0.875 0.907 0.532

No. 11
# Ti2AgS4 (PBE-GGA, relaxed)
# Formation energy without anion corrections = -965 meV/atom
# Space group = No. 63
# Spin magnetization = 0.0001 μB/atom
# E above lowest polymorph = 0.1106 eV/atom
data_Ti2AgS4
_cell_length_a 6.041
_cell_length_b 6.041
_cell_length_c 12.535
_cell_angle_alpha 90.00
_cell_angle_beta 90.00
_cell_angle_gamma 146.53
_symmetry_space_group_name_H-M 'P 1'
_symmetry_Int_Tables_number 1
loop_
_symmetry_equiv_pos_as_xyz
'x,y,z'
loop_
_atom_site_label
_atom_site_type_symbol
_atom_site_fract_x
_atom_site_fract_y
_atom_site_fract_z
Ti1 Ti 0.131 0.869 0.568
Ti2 Ti 0.131 0.869 0.932
Ti3 Ti 0.869 0.131 0.068
Ti4 Ti 0.869 0.131 0.432
Ag1 Ag 0.388 0.612 0.750
Ag2 Ag 0.612 0.388 0.250
S1 S 0.060 0.940 0.750
S2 S 0.227 0.773 0.111
S3 S 0.227 0.773 0.389
S4 S 0.500 0.500 0.000
S5 S 0.500 0.500 0.500
S6 S 0.773 0.227 0.611
S7 S 0.773 0.227 0.889
S8 S 0.940 0.060 0.250

No. 12
# TiAg2S4 (PBE-GGA, relaxed)
# Formation energy without anion corrections = -143 meV/atom
# Space group = No. 139
# Spin magnetization = 0.2491 μB/atom
# E above lowest polymorph = 0.3347 eV/atom
data_TiAg2S4
_cell_length_a 7.099
_cell_length_b 7.099
_cell_length_c 7.099
_cell_angle_alpha 139.76
_cell_angle_beta 139.76
_cell_angle_gamma 58.21
_symmetry_space_group_name_H-M 'P 1'
_symmetry_Int_Tables_number 1
loop_
_symmetry_equiv_pos_as_xyz
'x,y,z'
loop_
_atom_site_label
_atom_site_type_symbol
_atom_site_fract_x
_atom_site_fract_y
_atom_site_fract_z
Ti1 Ti 0.000 0.000 0.000
Ag1 Ag 0.383 0.383 0.000
Ag2 Ag 0.617 0.617 0.000
S1 S 0.000 0.500 0.500
S2 S 0.187 0.187 0.000
S3 S 0.500 0.000 0.500
S4 S 0.813 0.813 0.000

formation energy without anion corrections of number 8 (TiAg2S4)?
-478 meV/atom

The highest spin magnetization belongs to which entry?
Ti3AgS

What is the spin magnetization in the eleventh record?
0.0001 μB/atom

Which formula does entry 7 have?
Ti3AgS